The following is a PBE calculation of a relaxed Tc3As crystal, from the Alexandria database.

a b c (Å): 5.590 5.590 8.674
angles (deg): 90.00 90.00 120.00
Positions (direct):
Tc1 0.000 0.500 0.000
Tc2 0.000 0.500 0.500
Tc3 0.164 0.329 0.250
Tc4 0.164 0.836 0.250
Tc5 0.329 0.164 0.750
Tc6 0.500 0.000 0.000
Tc7 0.500 0.000 0.500
Tc8 0.500 0.500 0.000
Tc9 0.500 0.500 0.500
Tc10 0.671 0.836 0.250
Tc11 0.836 0.164 0.750
Tc12 0.836 0.671 0.750
As1 0.000 0.000 0.000
As2 0.000 0.000 0.500
As3 0.333 0.667 0.750
As4 0.667 0.333 0.250

The value obtained for the energy above the most stable polymorph in this dataset is 313 meV per atom. The density of states at the Fermi level comes out at 1.74 states/eV/atom. Its formation energy is 286.2 meV/atom. Its volume is 234.7 Å³/cell. As for the crystal system: hexagonal. The calculation puts the magnetization at 0.17 μB per formula unit. The space group is No. 194.


The following is a PBE calculation of a relaxed Tc2As crystal, from the Alexandria database.

a b c (Å): 4.553 4.553 4.553
angles (deg): 142.69 127.90 65.82
Positions (direct):
Tc1 0.172 0.172 0.000
Tc2 0.828 0.828 0.000
As1 0.500 0.500 0.000

The value obtained for the energy above the most stable polymorph in this dataset is 219 meV per atom. The density of states at the Fermi level comes out at 0.72 states/eV/atom. Its formation energy is 80.8 meV/atom. Its volume is 44.5 Å³/cell. As for the crystal system: orthorhombic. The calculation puts the magnetization at 0.00 μB per formula unit. The space group is No. 71.


The following is a PBE calculation of a relaxed Tc3As crystal, from the Alexandria database.

a b c (Å): 8.605 8.605 8.605
angles (deg): 19.01 19.01 19.01
Positions (direct):
Tc1 0.000 0.000 0.000
Tc2 0.248 0.248 0.248
Tc3 0.752 0.752 0.752
As1 0.500 0.500 0.500

The value obtained for the energy above the most stable polymorph in this dataset is 110 meV per atom. The density of states at the Fermi level comes out at 0.83 states/eV/atom. Its formation energy is 83.2 meV/atom. Its volume is 59.1 Å³/cell. As for the crystal system: trigonal. The calculation puts the magnetization at 0.00 μB per formula unit. The space group is No. 166.


The following is a PBE calculation of a relaxed TcAs crystal, from the Alexandria database.

a b c (Å): 6.971 6.971 3.869
angles (deg): 90.00 90.00 156.28
Positions (direct):
Tc1 0.205 0.795 0.750
Tc2 0.795 0.205 0.250
As1 0.387 0.613 0.750
As2 0.613 0.387 0.250

The value obtained for the energy above the most stable polymorph in this dataset is 233 meV per atom. The density of states at the Fermi level comes out at 0.98 states/eV/atom. Its formation energy is 29.4 meV/atom. Its volume is 75.6 Å³/cell. As for the crystal system: orthorhombic. The calculation puts the magnetization at 0.00 μB per formula unit. The space group is No. 63.


The following is a PBE calculation of a relaxed Tc2As crystal, from the Alexandria database.

a b c (Å): 4.244 4.244 3.075
angles (deg): 90.00 90.00 120.00
Positions (direct):
Tc1 0.333 0.667 0.000
Tc2 0.667 0.333 0.000
As1 0.000 0.000 0.500

The value obtained for the energy above the most stable polymorph in this dataset is 627 meV per atom. The density of states at the Fermi level comes out at 1.06 states/eV/atom. Its formation energy is 489.2 meV/atom. Its volume is 48.0 Å³/cell. As for the crystal system: hexagonal. The calculation puts the magnetization at 0.00 μB per formula unit. The space group is No. 191.


The following is a PBE calculation of a relaxed TcAs crystal, from the Alexandria database.

a b c (Å): 4.529 4.529 7.438
angles (deg): 90.00 90.00 120.00
Positions (direct):
Tc1 0.333 0.667 0.086
Tc2 0.333 0.667 0.414
Tc3 0.667 0.333 0.586
Tc4 0.667 0.333 0.914
As1 0.000 0.000 0.250
As2 0.000 0.000 0.750
As3 0.333 0.667 0.750
As4 0.667 0.333 0.250

The value obtained for the energy above the most stable polymorph in this dataset is 738 meV per atom. The density of states at the Fermi level comes out at 1.16 states/eV/atom. Its formation energy is 535.1 meV/atom. Its volume is 132.1 Å³/cell. As for the crystal system: hexagonal. The calculation puts the magnetization at 0.00 μB per formula unit. The space group is No. 194.


The following is a PBE calculation of a relaxed Tc2As crystal, from the Alexandria database.

a b c (Å): 4.374 4.374 5.402
angles (deg): 90.00 90.00 120.00
Positions (direct):
Tc1 0.000 0.000 0.000
Tc2 0.000 0.000 0.500
Tc3 0.333 0.667 0.250
Tc4 0.667 0.333 0.750
As1 0.333 0.667 0.750
As2 0.667 0.333 0.250

The value obtained for the energy above the most stable polymorph in this dataset is 381 meV per atom. The density of states at the Fermi level comes out at 0.92 states/eV/atom. Its formation energy is 243.0 meV/atom. Its volume is 89.5 Å³/cell. As for the crystal system: hexagonal. The calculation puts the magnetization at 1.69 μB per formula unit. The space group is No. 194.


The following is a PBE calculation of a relaxed Tc2As crystal, from the Alexandria database.

a b c (Å): 4.926 4.926 6.432
angles (deg): 96.57 96.57 35.45
Positions (direct):
Tc1 0.000 0.000 0.000
Tc2 0.263 0.263 0.695
Tc3 0.603 0.603 0.329
Tc4 0.877 0.877 0.391
As1 0.281 0.281 0.090
As2 0.537 0.537 0.691

The value obtained for the energy above the most stable polymorph in this dataset is 99 meV per atom. The density of states at the Fermi level comes out at 0.74 states/eV/atom. Its formation energy is -38.7 meV/atom. Its volume is 89.9 Å³/cell. As for the crystal system: monoclinic. The calculation puts the magnetization at 0.00 μB per formula unit. The space group is No. 8.


The following is a PBE calculation of a relaxed Tc3As crystal, from the Alexandria database.

a b c (Å): 9.001 9.001 9.001
angles (deg): 156.28 156.28 33.80
Positions (direct):
Tc1 0.000 0.500 0.500
Tc2 0.132 0.132 0.000
Tc3 0.250 0.750 0.500
Tc4 0.500 0.000 0.500
Tc5 0.750 0.250 0.500
Tc6 0.868 0.868 0.000
As1 0.381 0.381 0.000
As2 0.619 0.619 0.000

The value obtained for the energy above the most stable polymorph in this dataset is 257 meV per atom. The density of states at the Fermi level comes out at 1.43 states/eV/atom. Its formation energy is 230.0 meV/atom. Its volume is 117.9 Å³/cell. As for the crystal system: tetragonal. The calculation puts the magnetization at 0.00 μB per formula unit. The space group is No. 139.


The following is a PBE calculation of a relaxed TcAs crystal, from the Alexandria database.

a b c (Å): 3.004 3.004 8.737
angles (deg): 90.00 90.00 120.00
Positions (direct):
Tc1 0.333 0.667 0.122
Tc2 0.667 0.333 0.878
As1 0.333 0.667 0.671
As2 0.667 0.333 0.329

The value obtained for the energy above the most stable polymorph in this dataset is 175 meV per atom. The density of states at the Fermi level comes out at 0.77 states/eV/atom. Its formation energy is -28.7 meV/atom. Its volume is 68.3 Å³/cell. As for the crystal system: trigonal. The calculation puts the magnetization at 0.00 μB per formula unit. The space group is No. 164.


The following is a PBE calculation of a relaxed Tc5As crystal, from the Alexandria database.

a b c (Å): 6.046 6.046 3.948
angles (deg): 90.00 90.00 142.33
Positions (direct):
Tc1 0.000 0.000 0.000
Tc2 0.175 0.825 0.500
Tc3 0.332 0.668 0.000
Tc4 0.668 0.332 0.000
Tc5 0.825 0.175 0.500
As1 0.500 0.500 0.500

The value obtained for the energy above the most stable polymorph in this dataset is 82 meV per atom. The density of states at the Fermi level comes out at 1.15 states/eV/atom. Its formation energy is 109.9 meV/atom. Its volume is 88.2 Å³/cell. As for the crystal system: orthorhombic. The calculation puts the magnetization at 0.00 μB per formula unit. The space group is No. 65.


The following is a PBE calculation of a relaxed TcAs crystal, from the Alexandria database.

a b c (Å): 4.206 4.206 4.206
angles (deg): 42.23 42.23 42.23
Positions (direct):
Tc1 0.000 0.000 0.000
As1 0.500 0.500 0.500

The value obtained for the energy above the most stable polymorph in this dataset is 252 meV per atom. The density of states at the Fermi level comes out at 0.94 states/eV/atom. Its formation energy is 49.0 meV/atom. Its volume is 30.4 Å³/cell. As for the crystal system: trigonal. The calculation puts the magnetization at 0.00 μB per formula unit. The space group is No. 166.


The following is a PBE calculation of a relaxed Tc3As crystal, from the Alexandria database.

a b c (Å): 2.974 2.974 6.553
angles (deg): 90.00 90.00 90.00
Positions (direct):
Tc1 0.000 0.000 0.000
Tc2 0.500 0.500 0.263
Tc3 0.500 0.500 0.737
As1 0.000 0.000 0.500

The value obtained for the energy above the most stable polymorph in this dataset is 0 meV per atom. The density of states at the Fermi level comes out at 0.73 states/eV/atom. Its formation energy is -26.7 meV/atom. Its volume is 58.0 Å³/cell. As for the crystal system: tetragonal. The calculation puts the magnetization at 0.00 μB per formula unit. The space group is No. 123.


The following is a PBE calculation of a relaxed Tc2As crystal, from the Alexandria database.

a b c (Å): 10.440 10.440 10.440
angles (deg): 163.44 163.44 23.50
Positions (direct):
Tc1 0.301 0.551 0.750
Tc2 0.449 0.699 0.750
Tc3 0.551 0.301 0.250
Tc4 0.699 0.449 0.250
As1 0.125 0.875 0.250
As2 0.875 0.125 0.750

The value obtained for the energy above the most stable polymorph in this dataset is 430 meV per atom. The density of states at the Fermi level comes out at 0.95 states/eV/atom. Its formation energy is 291.8 meV/atom. Its volume is 92.4 Å³/cell. As for the crystal system: tetragonal. The calculation puts the magnetization at 0.00 μB per formula unit. The space group is No. 141.


The following is a PBE calculation of a relaxed TcAs3 crystal, from the Alexandria database.

a b c (Å): 6.218 6.218 4.393
angles (deg): 90.00 90.00 120.00
Positions (direct):
Tc1 0.333 0.667 0.250
Tc2 0.667 0.333 0.750
As1 0.190 0.380 0.750
As2 0.190 0.810 0.750
As3 0.380 0.190 0.250
As4 0.620 0.810 0.750
As5 0.810 0.190 0.250
As6 0.810 0.620 0.250

The value obtained for the energy above the most stable polymorph in this dataset is 462 meV per atom. The density of states at the Fermi level comes out at 0.99 states/eV/atom. Its formation energy is 396.0 meV/atom. Its volume is 147.1 Å³/cell. As for the crystal system: hexagonal. The calculation puts the magnetization at 0.61 μB per formula unit. The space group is No. 194.


The following is a PBE calculation of a relaxed Tc5As3 crystal, from the Alexandria database.

a b c (Å): 7.065 7.065 5.508
angles (deg): 90.00 90.00 120.00
Positions (direct):
Tc1 0.000 0.238 0.250
Tc2 0.000 0.762 0.750
Tc3 0.238 0.000 0.250
Tc4 0.238 0.238 0.750
Tc5 0.333 0.667 0.000
Tc6 0.333 0.667 0.500
Tc7 0.667 0.333 0.000
Tc8 0.667 0.333 0.500
Tc9 0.762 0.000 0.750
Tc10 0.762 0.762 0.250
As1 0.000 0.400 0.750
As2 0.000 0.600 0.250
As3 0.400 0.000 0.750
As4 0.400 0.400 0.250
As5 0.600 0.000 0.250
As6 0.600 0.600 0.750

The value obtained for the energy above the most stable polymorph in this dataset is 57 meV per atom. The density of states at the Fermi level comes out at 0.61 states/eV/atom. Its formation energy is 70.2 meV/atom. Its volume is 238.1 Å³/cell. As for the crystal system: hexagonal. The calculation puts the magnetization at 0.00 μB per formula unit. The space group is No. 193.


The following is a PBE calculation of a relaxed TcAs3 crystal, from the Alexandria database.

a b c (Å): 7.192 7.192 4.459
angles (deg): 90.00 90.00 137.29
Positions (direct):
Tc1 0.039 0.961 0.750
Tc2 0.961 0.039 0.250
As1 0.069 0.460 0.250
As2 0.448 0.552 0.750
As3 0.460 0.069 0.750
As4 0.540 0.931 0.250
As5 0.552 0.448 0.250
As6 0.931 0.540 0.750

The value obtained for the energy above the most stable polymorph in this dataset is 427 meV per atom. The density of states at the Fermi level comes out at 0.52 states/eV/atom. Its formation energy is 361.5 meV/atom. Its volume is 156.4 Å³/cell. As for the crystal system: orthorhombic. The calculation puts the magnetization at 0.00 μB per formula unit. The space group is No. 63.


The following is a PBE calculation of a relaxed Tc5As4 crystal, from the Alexandria database.

a b c (Å): 7.265 7.265 6.007
angles (deg): 90.00 90.00 120.00
Positions (direct):
Tc1 0.000 0.278 0.250
Tc2 0.000 0.722 0.750
Tc3 0.278 0.000 0.250
Tc4 0.278 0.278 0.750
Tc5 0.333 0.667 0.000
Tc6 0.333 0.667 0.500
Tc7 0.667 0.333 0.000
Tc8 0.667 0.333 0.500
Tc9 0.722 0.000 0.750
Tc10 0.722 0.722 0.250
As1 0.000 0.000 0.000
As2 0.000 0.000 0.500
As3 0.000 0.393 0.750
As4 0.000 0.607 0.250
As5 0.393 0.000 0.750
As6 0.393 0.393 0.250
As7 0.607 0.000 0.250
As8 0.607 0.607 0.750

The value obtained for the energy above the most stable polymorph in this dataset is 68 meV per atom. The density of states at the Fermi level comes out at 1.07 states/eV/atom. Its formation energy is 181.1 meV/atom. Its volume is 274.6 Å³/cell. As for the crystal system: hexagonal. The calculation puts the magnetization at 0.00 μB per formula unit. The space group is No. 193.


The following is a PBE calculation of a relaxed TcAs crystal, from the Alexandria database.

a b c (Å): 4.664 4.664 4.577
angles (deg): 105.47 105.47 39.05
Positions (direct):
Tc1 0.123 0.123 0.297
Tc2 0.877 0.877 0.703
As1 0.384 0.384 0.177
As2 0.616 0.616 0.823

The value obtained for the energy above the most stable polymorph in this dataset is 111 meV per atom. The density of states at the Fermi level comes out at 0.73 states/eV/atom. Its formation energy is -91.8 meV/atom. Its volume is 60.1 Å³/cell. As for the crystal system: monoclinic. The calculation puts the magnetization at 0.00 μB per formula unit. The space group is No. 12.


The following is a PBE calculation of a relaxed TcAs3 crystal, from the Alexandria database.

a b c (Å): 5.149 5.149 5.149
angles (deg): 90.00 90.00 90.00
Positions (direct):
Tc1 0.000 0.000 0.000
Tc2 0.500 0.500 0.500
As1 0.000 0.250 0.500
As2 0.000 0.750 0.500
As3 0.250 0.500 0.000
As4 0.500 0.000 0.250
As5 0.500 0.000 0.750
As6 0.750 0.500 0.000

The value obtained for the energy above the most stable polymorph in this dataset is 393 meV per atom. The density of states at the Fermi level comes out at 0.59 states/eV/atom. Its formation energy is 327.8 meV/atom. Its volume is 136.5 Å³/cell. As for the crystal system: cubic. The calculation puts the magnetization at 0.53 μB per formula unit. The space group is No. 223.